Material: Sr4In3Pd2
Method: DFT, GGA-PBE
State: optimized geometry

Lattice parameters (Å, degrees): 8.7938 8.7938 7.9493 109.99 109.99 29.01
With the nearest neighbours (Å) after each atom.
Element x y z (fractional)
Sr  0.0776  0.0776  0.3661  1 Pd 3.10
Sr  0.2728  0.2728  0.8237  3 Pd 3.23-3.48, 3 In 3.53-3.55
Sr  0.7272  0.7272  0.1763  3 Pd 3.23-3.48, 3 In 3.53-3.55
Sr  0.9224  0.9224  0.6339  1 Pd 3.10
In  0.4017  0.4017  0.2823  2 Pd 2.86
In  0.5000  0.5000  0.0000  4 Pd 2.86
In  0.5983  0.5983  0.7177  2 Pd 2.86
Pd  0.0950  0.0950  0.9436  4 In 2.86, 1 Sr 3.10
Pd  0.9050  0.9050  0.0564  4 In 2.86, 1 Sr 3.10

Results
crystal system: monoclinic
magnetization: 0.0 μB per formula unit
ΔH_f (0 K): -0.500 eV/atom



Material: SrIn2Pd5
Method: DFT, GGA-PBE
State: optimized geometry

Lattice parameters (Å, degrees): 6.9948 6.9948 6.9948 145.52 119.92 71.15
With the nearest neighbours (Å) after each atom.
Element x y z (fractional)
Sr  0.0000  0.0000  0.0000  10 Pd 3.28-3.50, 4 In 3.66
In  0.2651  0.7651  0.5000  7 Pd 2.65-2.80
In  0.7349  0.2349  0.5000  7 Pd 2.65-2.80
Pd  0.1770  0.3758  0.8012  3 In 2.65-2.80, 4 Pd 2.78-2.87
Pd  0.4255  0.6242  0.8012  3 In 2.65-2.80, 4 Pd 2.78-2.87
Pd  0.5000  0.0000  0.5000  2 In 2.67, 8 Pd 2.87
Pd  0.5745  0.3758  0.1988  3 In 2.65-2.80, 4 Pd 2.78-2.87
Pd  0.8230  0.6242  0.1988  3 In 2.65-2.80, 4 Pd 2.78-2.87

Results
crystal system: orthorhombic
magnetization: 0.0 μB per formula unit
ΔH_f (0 K): -0.476 eV/atom



Material: Sr2In9Pd3
Method: DFT, GGA-PBE
State: optimized geometry

Lattice parameters (Å, degrees): 8.4532 8.4532 11.7164 111.46 111.46 59.77
With the nearest neighbours (Å) after each atom.
Element x y z (fractional)
Sr  0.0846  0.2517  0.2506  11 In 3.34-3.46
Sr  0.2517  0.0846  0.7506  11 In 3.34-3.46
Sr  0.7483  0.9154  0.2494  11 In 3.34-3.46
Sr  0.9154  0.7483  0.7494  11 In 3.34-3.46
In  0.0182  0.8642  0.0747  3 Pd 2.86-2.95, 5 In 3.13-3.20
In  0.1358  0.9818  0.4253  3 Pd 2.86-2.95, 5 In 3.13-3.20
In  0.1863  0.3588  0.5754  3 Pd 2.88-2.96, 5 In 3.11-3.19
In  0.2046  0.5816  0.2517  2 Pd 2.83-2.85, 5 In 3.11-3.15
In  0.3075  0.4814  0.9412  3 Pd 2.84-2.91, 2 In 3.17
In  0.3588  0.1863  0.0754  3 Pd 2.88-2.96, 5 In 3.11-3.19
In  0.3677  0.6323  0.7500  2 Pd 2.84, 4 In 3.11-3.13
In  0.4184  0.7954  0.2483  2 Pd 2.83-2.85, 5 In 3.11-3.15
In  0.4814  0.3075  0.4412  3 Pd 2.84-2.91, 2 In 3.17
In  0.5186  0.6925  0.5588  3 Pd 2.84-2.91, 2 In 3.17
In  0.5816  0.2046  0.7517  2 Pd 2.83-2.85, 5 In 3.11-3.15
In  0.6323  0.3677  0.2500  2 Pd 2.84, 4 In 3.11-3.13
In  0.6412  0.8137  0.9246  3 Pd 2.88-2.96, 5 In 3.11-3.19
In  0.6925  0.5186  0.0588  3 Pd 2.84-2.91, 2 In 3.17
In  0.7954  0.4184  0.7483  2 Pd 2.83-2.85, 5 In 3.11-3.15
In  0.8137  0.6412  0.4246  3 Pd 2.88-2.96, 5 In 3.11-3.19
In  0.8642  0.0182  0.5747  3 Pd 2.86-2.95, 5 In 3.13-3.20
In  0.9818  0.1358  0.9253  3 Pd 2.86-2.95, 5 In 3.13-3.20
Pd  0.0000  0.5000  0.0000  8 In 2.84-2.95
Pd  0.1659  0.6675  0.4996  8 In 2.83-2.96
Pd  0.3325  0.8341  0.0004  8 In 2.83-2.96
Pd  0.5000  0.0000  0.5000  8 In 2.84-2.95
Pd  0.6675  0.1659  0.9996  8 In 2.83-2.96
Pd  0.8341  0.3325  0.5004  8 In 2.83-2.96

Results
crystal system: monoclinic
magnetization: 0.0 μB per formula unit
ΔH_f (0 K): -0.444 eV/atom